Material: BeCoGe2
Method: DFT, PBE
State: relaxed

DOS(E_F)	2.37	states/eV/f.u.
raw total energy	-4.54	eV/atom
formation enthalpy at 0 K	0.481	eV/atom
size of the total moment	0.0	μB per cell

Unit cell a=6.712 b=6.712 c=5.073 alpha=90.00 beta=90.00 gamma=90.00
Space group I-42d (No. 122)
Symmetry-distinct sites (fractional):
Be 0.000 0.000 0.000 (multiplicity 4)
Co 0.000 0.000 0.500 (multiplicity 4)
Ge 0.240 0.250 0.625 (multiplicity 8)